Pa2Si2Ru5 after structural relaxation, computed with PBE.

a b c (Å): 4.1255 4.1255 8.7199
angles (deg): 90.00 90.00 90.00
Last column: nearest neighbours and their distance in Å.
Sites, in units of the cell vectors:
Pa (0.0000, 0.0000, 0.0000)  8 Ru 3.12, 8 Si 3.15
Pa (0.0000, 0.0000, 0.5000)  12 Ru 2.88-2.92
Si (0.5000, 0.5000, 0.1367)  4 Ru 2.36, 1 Si 2.38
Si (0.5000, 0.5000, 0.8633)  4 Ru 2.36, 1 Si 2.38
Ru (0.5000, 0.0000, 0.2687)  2 Si 2.36
Ru (0.5000, 0.0000, 0.7313)  2 Si 2.36
Ru (0.0000, 0.5000, 0.2687)  2 Si 2.36
Ru (0.0000, 0.5000, 0.7313)  2 Si 2.36
Ru (0.5000, 0.5000, 0.5000)  8 Ru 2.88, 4 Pa 2.92, 2 Si 3.17

crystal system = tetragonal

=====

PaSiRu2 after structural relaxation, computed with PBE.

a b c (Å): 3.0252 3.0252 6.9626
angles (deg): 90.00 90.00 90.00
Last column: nearest neighbours and their distance in Å.
Sites, in units of the cell vectors:
Ru (0.0000, 0.0000, 0.7997)  4 Si 2.55, 1 Ru 2.79
Ru (0.0000, 0.0000, 0.2003)  4 Si 2.55, 1 Ru 2.79
Si (0.5000, 0.5000, 0.0000)  8 Ru 2.55
Pa (0.5000, 0.5000, 0.5000)  8 Ru 2.99, 4 Pa 3.03

crystal system = tetragonal

=====

DFT total energy list, top to bottom, in eV/atom: -9.1337 -8.8583
D(E_F) list, top to bottom, in states/eV per cell: 7.58 3.77